The following is a PBE calculation of a relaxed structure of Ca4Tl2Sn, from Alexandria.

Lattice parameters (Å, degrees): 5.4403 5.4403 9.3867 73.15 73.15 60.00
Element x y z (fractional)
Tl (0.7512, 0.7512, 0.7465)
Ca (0.1248, 0.1248, 0.6256)
Ca (0.3759, 0.3759, 0.8724)
Sn (0.0000, 0.0000, 0.0000)
Tl (0.2488, 0.2488, 0.2535)
Ca (0.6241, 0.6241, 0.1276)
Ca (0.8752, 0.8752, 0.3744)

Density of states at the Fermi level ... 4.29 states/eV/f.u.
E ... -19.44 eV for the cell shown
Energy relative to the lowest polymorph listed for this composition ... 0 meV per atom

The following is a PBE calculation of a relaxed structure of CaTl8Sn2, from Alexandria.

Lattice parameters (Å, degrees): 5.9791 8.4621 8.4621 60.20 79.10 79.10
Element x y z (fractional)
Tl (0.8992, 0.2252, 0.2252)
Tl (0.7763, 0.2505, 0.6196)
Sn (0.4637, 0.1092, 0.1092)
Tl (0.2237, 0.7495, 0.3804)
Tl (0.2237, 0.3804, 0.7495)
Tl (0.3280, 0.3475, 0.3475)
Tl (0.1008, 0.7748, 0.7748)
Sn (0.5363, 0.8908, 0.8908)
Tl (0.7763, 0.6196, 0.2505)
Tl (0.6720, 0.6525, 0.6525)
Ca (0.0000, 0.0000, 0.0000)

Density of states at the Fermi level ... 4.96 states/eV/f.u.
E ... -28.74 eV for the cell shown

The following is a PBE calculation of a relaxed structure of CaTlSn2, from Alexandria.

Lattice parameters (Å, degrees): 8.6676 8.6676 6.9200 51.22 51.22 90.00
Element x y z (fractional)
Sn (0.0952, 0.6250, 0.2500)
Sn (0.6548, 0.1250, 0.2500)
Sn (0.3750, 0.3452, 0.7500)
Ca (0.2500, 0.7500, 0.5000)
Tl (0.0000, 0.0000, 0.0000)
Ca (0.5000, 0.5000, 0.0000)
Tl (0.7500, 0.2500, 0.5000)
Sn (0.8750, 0.9048, 0.7500)

Density of states at the Fermi level ... 3.16 states/eV/f.u.
E ... -25.87 eV for the cell shown

The following is a PBE calculation of a relaxed structure of CaTlSn2, from Alexandria.

Lattice parameters (Å, degrees): 4.8669 4.7771 4.7771 90.00 90.00 90.00
Element x y z (fractional)
Ca (0.5000, 0.5000, 0.5000)
Sn (0.0000, 0.5000, 0.0000)
Sn (0.0000, 0.0000, 0.5000)
Tl (0.5000, 0.0000, 0.0000)

Density of states at the Fermi level ... 2.74 states/eV/f.u.
E ... -13.70 eV for the cell shown

The following is a PBE calculation of a relaxed structure of Ca4Tl2Sn, from Alexandria.

Lattice parameters (Å, degrees): 5.9384 5.9384 8.8903 70.49 70.49 90.00
Element x y z (fractional)
Tl (0.3944, 0.3944, 0.2111)
Sn (0.0000, 0.0000, 0.0000)
Ca (0.5000, 0.0000, 0.0000)
Ca (0.0000, 0.5000, 0.0000)
Tl (0.6056, 0.6056, 0.7889)
Ca (0.8060, 0.8060, 0.3880)
Ca (0.1940, 0.1940, 0.6120)

Density of states at the Fermi level ... 7.87 states/eV/f.u.
E ... -17.75 eV for the cell shown
Energy relative to the lowest polymorph listed for this composition ... 241 meV per atom

The following is a PBE calculation of a relaxed structure of Ca2Tl3Sn2, from Alexandria.

Lattice parameters (Å, degrees): 4.4625 4.3139 11.5308 100.78 90.00 90.00
Element x y z (fractional)
Ca (0.0000, 0.1635, 0.3270)
Tl (0.5000, 0.5716, 0.1432)
Tl (0.5000, 0.4284, 0.8568)
Ca (0.0000, 0.8365, 0.6730)
Tl (0.0000, 0.0000, 0.0000)
Sn (0.5000, 0.7084, 0.4168)
Sn (0.5000, 0.2916, 0.5832)

Density of states at the Fermi level ... 2.62 states/eV/f.u.
E ... -21.15 eV for the cell shown

The following is a PBE calculation of a relaxed structure of Ca2Tl5Sn, from Alexandria.

Lattice parameters (Å, degrees): 4.7868 6.9383 13.7978 90.00 90.00 90.00
Element x y z (fractional)
Tl (0.5000, 0.2597, 0.6275)
Tl (0.5000, 0.7403, 0.3725)
Tl (0.0000, 0.5000, 0.5000)
Ca (0.5000, 0.7604, 0.6204)
Sn (0.0000, 0.5000, 0.0000)
Sn (0.0000, 0.0000, 0.5000)
Tl (0.0000, 0.9871, 0.2538)
Ca (0.5000, 0.7396, 0.1204)
Ca (0.5000, 0.2604, 0.8796)
Ca (0.5000, 0.2396, 0.3796)
Tl (0.0000, 0.5129, 0.7538)
Tl (0.0000, 0.4871, 0.2462)
Tl (0.0000, 0.0000, 0.0000)
Tl (0.5000, 0.2403, 0.1275)
Tl (0.0000, 0.0129, 0.7462)
Tl (0.5000, 0.7597, 0.8725)

Density of states at the Fermi level ... 5.04 states/eV/f.u.
E ... -43.83 eV for the cell shown

The following is a PBE calculation of a relaxed structure of Ca2Tl2Sn, from Alexandria.

Lattice parameters (Å, degrees): 8.6167 8.6167 4.1925 90.00 90.00 90.00
Element x y z (fractional)
Ca (0.1565, 0.3435, 0.0000)
Tl (0.6467, 0.8533, 0.5000)
Tl (0.3533, 0.1467, 0.5000)
Sn (0.5000, 0.5000, 0.0000)
Tl (0.8533, 0.3533, 0.5000)
Ca (0.6565, 0.1565, 0.0000)
Ca (0.3435, 0.8435, 0.0000)
Sn (0.0000, 0.0000, 0.0000)
Ca (0.8435, 0.6565, 0.0000)
Tl (0.1467, 0.6467, 0.5000)

Density of states at the Fermi level ... 2.95 states/eV/f.u.
E ... -27.69 eV for the cell shown
Energy relative to the lowest polymorph listed for this composition ... 115 meV per atom

The following is a PBE calculation of a relaxed structure of Ca2Tl2Sn, from Alexandria.

Lattice parameters (Å, degrees): 5.0363 5.0363 7.4827 70.33 70.33 90.00
Element x y z (fractional)
Tl (0.3963, 0.3963, 0.2075)
Ca (0.2500, 0.7500, 0.5000)
Sn (0.0000, 0.0000, 0.0000)
Ca (0.7500, 0.2500, 0.5000)
Tl (0.6037, 0.6037, 0.7925)

Density of states at the Fermi level ... 3.06 states/eV/f.u.
E ... -12.75 eV for the cell shown
Energy relative to the lowest polymorph listed for this composition ... 334 meV per atom

The following is a PBE calculation of a relaxed structure of Ca4TlSn3, from Alexandria.

Lattice parameters (Å, degrees): 5.6717 7.2576 11.1177 90.00 90.00 90.00
Element x y z (fractional)
Ca (0.9072, 0.2492, 0.2500)
Tl (0.0000, 0.5000, 0.5000)
Sn (0.0000, 0.0000, 0.0000)
Sn (0.6096, 0.0000, 0.7500)
Ca (0.5000, 0.7516, 0.0000)
Sn (0.3904, 0.0000, 0.2500)
Sn (0.4021, 0.5000, 0.2500)
Tl (0.0000, 0.5000, 0.0000)
Ca (0.5000, 0.7516, 0.5000)
Ca (0.0928, 0.2492, 0.7500)
Sn (0.5979, 0.5000, 0.7500)
Ca (0.5000, 0.2484, 0.0000)
Sn (0.0000, 0.0000, 0.5000)
Ca (0.0928, 0.7508, 0.7500)
Ca (0.9072, 0.7508, 0.2500)
Ca (0.5000, 0.2484, 0.5000)

Density of states at the Fermi level ... 2.13 states/eV/f.u.
E ... -53.90 eV for the cell shown

The following is a PBE calculation of a relaxed structure of Ca2Tl6Sn, from Alexandria.

Lattice parameters (Å, degrees): 3.6800 8.0929 9.7489 79.22 79.12 76.86
Element x y z (fractional)
Tl (0.2364, 0.6318, 0.8954)
Sn (0.0000, 0.0000, 0.0000)
Tl (0.6182, 0.3086, 0.4551)
Ca (0.6584, 0.9667, 0.7165)
Ca (0.3416, 0.0333, 0.2835)
Tl (0.9538, 0.3490, 0.7435)
Tl (0.7636, 0.3682, 0.1046)
Tl (0.0462, 0.6510, 0.2565)
Tl (0.3818, 0.6914, 0.5449)

Density of states at the Fermi level ... 4.47 states/eV/f.u.
E ... -23.58 eV for the cell shown

The following is a PBE calculation of a relaxed structure of CaTl3Sn3, from Alexandria.

Lattice parameters (Å, degrees): 7.7712 7.7712 7.7712 71.35 71.35 71.35
Element x y z (fractional)
Sn (0.0281, 0.3055, 0.8953)
Sn (0.1047, 0.9719, 0.6945)
Tl (0.1757, 0.6082, 0.4616)
Tl (0.4616, 0.1757, 0.6082)
Tl (0.6082, 0.4616, 0.1757)
Ca (0.7594, 0.7594, 0.7594)
Sn (0.8953, 0.0281, 0.3055)
Sn (0.3055, 0.8953, 0.0281)
Sn (0.9719, 0.6945, 0.1047)
Sn (0.6945, 0.1047, 0.9719)
Tl (0.3918, 0.5384, 0.8243)
Tl (0.5384, 0.8243, 0.3918)
Tl (0.8243, 0.3918, 0.5384)
Ca (0.2406, 0.2406, 0.2406)

Density of states at the Fermi level ... 3.40 states/eV/f.u.
E ... -44.17 eV for the cell shown
Energy relative to the lowest polymorph listed for this composition ... 0 meV per atom